# Cr3CoCl | the Alexandria database | PBE | relaxed
data_Cr3CoCl
_chemical_formula_sum 'Cr3 Co1 Cl1'
_cell_length_a 4.081
_cell_length_b 4.081
_cell_length_c 4.081
_cell_angle_alpha 90.00
_cell_angle_beta 90.00
_cell_angle_gamma 90.00
_symmetry_space_group_name_H-M 'P m -3 m'
_symmetry_Int_Tables_number 221
_symmetry_space_group_name_Hall '-P 4 2 3'
loop_
_atom_site_label
_atom_site_fract_x
_atom_site_fract_y
_atom_site_fract_z
Cr1 0.000 0.000 0.500
Co1 0.500 0.500 0.500
Cl1 0.000 0.000 0.000
# - Final energy: -6.507 eV/atom
# - Energy above the most stable polymorph in this dataset: 0.000 eV per atom
# - Magnetic moment: 2.50 μB per cell